TlSb2Os at its PBEsol-relaxed geometry, computed with SCAN.

Summary:
* symmetry: P4/mmm
* DOS(E_F): 3.31 states/eV per cell
* formation energy without anion corrections: 4.2 eV per formula unit

Cell: 4.300 4.300 4.644 Å, 90.00 90.00 90.00°
Atoms (fractional coordinates):
Tl (0.000, 0.000, 0.000)
Sb (0.000, 0.500, 0.500)
Sb (0.500, 0.000, 0.500)
Os (0.500, 0.500, 0.000)

=====

LaMo2Au at its PBEsol-relaxed geometry, computed with SCAN.

Summary:
* formation energy: 109 kJ/mol of formula units
* symmetry: C2/m
* DOS(E_F): 3.64 states/eV per cell

Cell: 5.219 5.219 5.263 Å, 100.06 100.06 36.17°
Atoms (fractional coordinates):
La (0.000, 0.000, 0.000)
Mo (0.227, 0.227, 0.657)
Mo (0.773, 0.773, 0.343)
Au (0.500, 0.500, 0.500)

=====

CrNi2Os at its PBEsol-relaxed geometry, computed with SCAN.

Summary:
* formation energy: 10 kJ/mol of formula units
* symmetry: P4/mmm
* DOS(E_F): 2.96 states/eV per cell

Cell: 3.521 3.521 3.713 Å, 90.00 90.00 90.00°
Atoms (fractional coordinates):
Cr (0.000, 0.000, 0.000)
Ni (0.000, 0.500, 0.500)
Ni (0.500, 0.000, 0.500)
Os (0.500, 0.500, 0.000)

=====

Cd2InPb at its PBEsol-relaxed geometry, computed with SCAN.

Summary:
* formation energy: 48 kJ/mol of formula units
* symmetry: Pmmm
* DOS(E_F): 1.71 states/eV per cell

Cell: 3.606 5.260 5.265 Å, 90.00 90.00 90.00°
Atoms (fractional coordinates):
Cd (0.000, 0.000, 0.000)
Cd (0.500, 0.500, 0.000)
In (0.000, 0.500, 0.500)
Pb (0.500, 0.000, 0.500)

=====

CsTaRu3 at its PBEsol-relaxed geometry, computed with SCAN.

Summary:
* formation energy: 727 kJ/mol of formula units
* symmetry: Pm-3m
* DOS(E_F): 2.77 states/eV per cell

Cell: 4.855 4.855 4.855 Å, 90.00 90.00 90.00°
Atoms (fractional coordinates):
Cs (0.000, 0.000, 0.000)
Ta (0.500, 0.500, 0.500)
Ru (0.000, 0.500, 0.500)
Ru (0.500, 0.000, 0.500)
Ru (0.500, 0.500, 0.000)

=====

Li3CdBr at its PBEsol-relaxed geometry, computed with SCAN.

Summary:
* symmetry: Pm-3m
* DOS(E_F): 2.49 states/eV per cell
* formation energy without anion corrections: -2.4 eV per formula unit

Cell: 4.847 4.847 4.847 Å, 90.00 90.00 90.00°
Atoms (fractional coordinates):
Li (0.000, 0.000, 0.500)
Li (0.000, 0.500, 0.000)
Li (0.500, 0.000, 0.000)
Cd (0.500, 0.500, 0.500)
Br (0.000, 0.000, 0.000)

=====

KRb3Cl at its PBEsol-relaxed geometry, computed with SCAN.

Summary:
* symmetry: Pm-3m
* DOS(E_F): 2.71 states/eV per cell
* formation energy without anion corrections: -4.0 eV per formula unit

Cell: 6.698 6.698 6.698 Å, 90.00 90.00 90.00°
Atoms (fractional coordinates):
K (0.000, 0.000, 0.000)
Rb (0.000, 0.500, 0.500)
Rb (0.500, 0.000, 0.500)
Rb (0.500, 0.500, 0.000)
Cl (0.500, 0.500, 0.500)

=====

La2Te at its PBEsol-relaxed geometry, computed with SCAN.

Summary:
* symmetry: P4/mmm
* DOS(E_F): 3.09 states/eV per cell
* formation energy without anion corrections: -2.7 eV per formula unit

Cell: 5.011 5.011 4.115 Å, 90.00 90.00 90.00°
Atoms (fractional coordinates):
La (0.000, 0.500, 0.000)
La (0.500, 0.000, 0.000)
Te (0.000, 0.000, 0.500)